This record from Alexandria via LeMat-Bulk describes a relaxed structure of Hf4InSb. The functional is PBE-GGA.

Lattice parameters (Å, degrees): 7.5897 7.5897 6.3199 111.91 111.91 106.48
Positions (direct):
Hf  0.0050  0.6421  0.2351
Hf  0.0963  0.2358  0.2483
Hf  0.2358  0.0963  0.7483
Hf  0.3579  0.9950  0.2649
Hf  0.6421  0.0050  0.7351
Hf  0.7642  0.9037  0.2517
Hf  0.9037  0.7642  0.7517
Hf  0.9950  0.3579  0.7649
In  0.4319  0.5681  0.2500
In  0.5681  0.4319  0.7500
Sb  0.2957  0.7043  0.7500
Sb  0.7043  0.2957  0.2500

Summary:
- ρ: 11.6 Mg/m³
- N(E_F): 4.77 states/eV/f.u.
- Formation energy (no corrections): -15.6 kJ per mole of atoms
- Electronic total energy: -95.29 eV per cell

This record from Alexandria via LeMat-Bulk describes a relaxed structure of Hf8InSb2. The functional is PBE-GGA.

Lattice parameters (Å, degrees): 7.6454 7.6454 5.3798 101.48 101.48 119.06
Positions (direct):
Hf  0.0929  0.3155  0.6401
Hf  0.2279  0.7721  0.0000
Hf  0.3155  0.0929  0.6401
Hf  0.4117  0.4117  0.1955
Hf  0.5883  0.5883  0.8045
Hf  0.6845  0.9071  0.3599
Hf  0.7721  0.2279  0.0000
Hf  0.9071  0.6845  0.3599
In  0.0000  0.0000  0.0000
Sb  0.3039  0.6961  0.5000
Sb  0.6961  0.3039  0.5000

Summary:
- ρ: 11.7 Mg/m³
- N(E_F): 9.26 states/eV/f.u.
- Formation energy (no corrections): -6.9 kJ per mole of atoms
- Electronic total energy: -91.39 eV per cell

This record from Alexandria via LeMat-Bulk describes a relaxed structure of Hf6InSb. The functional is PBE-GGA.

Lattice parameters (Å, degrees): 5.5822 5.5842 5.5877 90.04 90.08 90.03
Positions (direct):
Hf  0.0011  0.9999  0.2512
Hf  0.2488  0.5012  0.0004
Hf  0.4986  0.2508  0.5004
Hf  0.5014  0.7492  0.4996
Hf  0.7512  0.4988  0.9996
Hf  0.9989  0.0001  0.7488
In  0.0000  0.5000  0.5000
Sb  0.5000  0.0000  0.0000

Summary:
- ρ: 12.5 Mg/m³
- N(E_F): 9.64 states/eV/f.u.
- Formation energy (no corrections): -16.5 kJ per mole of atoms
- Electronic total energy: -67.95 eV per cell

This record from Alexandria via LeMat-Bulk describes a relaxed structure of Hf2In2Sb. The functional is PBE-GGA.

Lattice parameters (Å, degrees): 8.6758 8.6758 3.2139 90.00 90.00 90.00
Positions (direct):
Hf  0.1756  0.3244  0.0000
Hf  0.3244  0.8244  0.0000
Hf  0.6756  0.1756  0.0000
Hf  0.8244  0.6756  0.0000
In  0.1222  0.6222  0.5000
In  0.3778  0.1222  0.5000
In  0.6222  0.8778  0.5000
In  0.8778  0.3778  0.5000
Sb  0.0000  0.0000  0.5000
Sb  0.5000  0.5000  0.5000

Summary:
- ρ: 9.7 Mg/m³
- N(E_F): 3.05 states/eV/f.u.
- Relative energy among the computed polymorphs: 344.3 meV per atom
- Formation energy (no corrections): 17.1 kJ per mole of atoms
- Electronic total energy: -57.24 eV per cell

This record from Alexandria via LeMat-Bulk describes a relaxed structure of Hf6In5Sb. The functional is PBE-GGA.

Lattice parameters (Å, degrees): 7.0540 7.0540 8.7999 90.00 90.00 143.31
Positions (direct):
Hf  0.0000  0.0000  0.2431
Hf  0.0000  0.0000  0.7569
Hf  0.3341  0.6659  0.2508
Hf  0.3341  0.6659  0.7492
Hf  0.6659  0.3341  0.2508
Hf  0.6659  0.3341  0.7492
In  0.1658  0.8342  0.5000
In  0.1731  0.8269  0.0000
In  0.5000  0.5000  0.5000
In  0.8269  0.1731  0.0000
In  0.8342  0.1658  0.5000
Sb  0.5000  0.5000  0.0000

Summary:
- ρ: 11.2 Mg/m³
- N(E_F): 8.65 states/eV/f.u.
- Formation energy (no corrections): -15.3 kJ per mole of atoms
- Electronic total energy: -79.43 eV per cell

This record from Alexandria via LeMat-Bulk describes a relaxed structure of HfInSbTe2. The functional is PBE-GGA.

Lattice parameters (Å, degrees): 5.5916 5.5916 5.5997 90.00 90.00 90.00
Positions (direct):
Hf  0.0000  0.0000  0.0000
In  0.5000  0.5000  0.5000
Sb  0.0000  0.0000  0.5000
Te  0.0000  0.5000  0.0000
Te  0.5000  0.0000  0.0000

Summary:
- ρ: 6.4 Mg/m³
- N(E_F): 3.93 states/eV/f.u.
- Relative energy among the computed polymorphs: 0.0 meV per atom
- Formation energy (no corrections): -10.8 kJ per mole of atoms
- Electronic total energy: -23.66 eV per cell

This record from Alexandria via LeMat-Bulk describes a relaxed structure of HfInSbTe2. The functional is PBE-GGA.

Lattice parameters (Å, degrees): 5.5359 5.5359 5.4181 90.00 90.00 90.00
Positions (direct):
Hf  0.0000  0.0000  0.0000
In  0.5000  0.5000  0.5000
Sb  0.5000  0.5000  0.0000
Te  0.0000  0.5000  0.5000
Te  0.5000  0.0000  0.5000

Summary:
- ρ: 6.7 Mg/m³
- N(E_F): 4.70 states/eV/f.u.
- Relative energy among the computed polymorphs: 978.8 meV per atom
- Formation energy (no corrections): 83.7 kJ per mole of atoms
- Electronic total energy: -18.76 eV per cell

This record from Alexandria via LeMat-Bulk describes a relaxed structure of HfScIn2. The functional is PBE-GGA.

Lattice parameters (Å, degrees): 3.2992 3.2992 29.5283 90.00 90.00 120.00
Positions (direct):
Hf  0.0000  0.0000  0.0000
Hf  0.3333  0.6667  0.6667
Hf  0.6667  0.3333  0.3333
Sc  0.0000  0.0000  0.5000
Sc  0.3333  0.6667  0.1667
Sc  0.6667  0.3333  0.8333
In  0.0000  0.0000  0.2495
In  0.0000  0.0000  0.7505
In  0.3333  0.6667  0.4171
In  0.3333  0.6667  0.9162
In  0.6667  0.3333  0.0838
In  0.6667  0.3333  0.5829

Summary:
- ρ: 8.1 Mg/m³
- N(E_F): 4.21 states/eV/f.u.
- Relative energy among the computed polymorphs: 131.8 meV per atom
- ΔE_f: -158 meV per atom
- Electronic total energy: -67.18 eV per cell